A plane-wave DFT calculation with PBE was carried out for crystalline Cr2TcSb at its relaxed geometry.

Cell lengths 8.237, 8.237, 8.237 Å; angles 21.25, 21.25, 21.25 degrees
Each line ends with the local moment (μB).
Sites, in units of the cell vectors:
Tc 0.750 0.750 0.750  -0.63
Sb 0.250 0.250 0.250  -0.06
Cr 0.492 0.492 0.492  1.81
Cr 0.008 0.008 0.008  1.81

Values from the calculation:
theoretical density = 8.4 g cm⁻³
formation energy (no corrections) = 508 meV/atom
raw total energy = -7.9255 eV/atom